A geometry-optimized LaPu2In9 structure. Source: the Alexandria database, functional PBE.

Theoretical density in g/cm3: 8.84
E_tot in eV/cell: -61.94
E_form in meV per atom: -309
Size of the total moment in μB per cell: 11.405

```
data_LaPu2In9
_space_group_name_H-M_alt 'P 4/m m m'
_space_group_IT_number 123
_space_group_name_Hall '-P 4 2'
_cell_length_a 4.703
_cell_length_b 4.703
_cell_length_c 14.101
_cell_angle_alpha 90.00
_cell_angle_beta 90.00
_cell_angle_gamma 90.00
loop_
_atom_site_label
_atom_site_type_symbol
_atom_site_fract_x
_atom_site_fract_y
_atom_site_fract_z
La1 La 0.000 0.000 0.000
Pu1 Pu 0.000 0.000 0.336
In1 In 0.000 0.500 0.173
In2 In 0.000 0.500 0.500
In3 In 0.500 0.500 0.000
In4 In 0.500 0.500 0.335
```

A geometry-optimized La2PuIn structure. Source: the Alexandria database, functional PBE.

Relative energy among the computed polymorphs in meV/atom: 37
Theoretical density in g/cm3: 8.33
E_tot in eV/cell: -27.44
E_form in meV per atom: -129
Size of the total moment in μB per cell: 6.857

```
data_La2PuIn
_space_group_name_H-M_alt 'P 4/m m m'
_space_group_IT_number 123
_space_group_name_Hall '-P 4 2'
_cell_length_a 3.793
_cell_length_b 3.793
_cell_length_c 8.823
_cell_angle_alpha 90.00
_cell_angle_beta 90.00
_cell_angle_gamma 90.00
loop_
_atom_site_label
_atom_site_type_symbol
_atom_site_fract_x
_atom_site_fract_y
_atom_site_fract_z
La1 La 0.000 0.000 0.237
Pu1 Pu 0.500 0.500 0.500
In1 In 0.500 0.500 0.000
```

A geometry-optimized La2PuIn structure. Source: the Alexandria database, functional PBE.

Relative energy among the computed polymorphs in meV/atom: 0
Theoretical density in g/cm3: 8.65
E_tot in eV/cell: -27.59
E_form in meV per atom: -166
Size of the total moment in μB per cell: 6.622

```
data_La2PuIn
_space_group_name_H-M_alt 'P 4/m m m'
_space_group_IT_number 123
_space_group_name_Hall '-P 4 2'
_cell_length_a 5.077
_cell_length_b 5.077
_cell_length_c 4.744
_cell_angle_alpha 90.00
_cell_angle_beta 90.00
_cell_angle_gamma 90.00
loop_
_atom_site_label
_atom_site_type_symbol
_atom_site_fract_x
_atom_site_fract_y
_atom_site_fract_z
La1 La 0.000 0.500 0.000
Pu1 Pu 0.000 0.000 0.500
In1 In 0.500 0.500 0.500
```

A geometry-optimized La2PuIn9 structure. Source: the Alexandria database, functional PBE.

Theoretical density in g/cm3: 8.07
E_tot in eV/cell: -53.58
E_form in meV per atom: -395
Size of the total moment in μB per cell: 5.605

```
data_La2PuIn9
_space_group_name_H-M_alt 'P 4/m m m'
_space_group_IT_number 123
_space_group_name_Hall '-P 4 2'
_cell_length_a 4.743
_cell_length_b 4.743
_cell_length_c 14.227
_cell_angle_alpha 90.00
_cell_angle_beta 90.00
_cell_angle_gamma 90.00
loop_
_atom_site_label
_atom_site_type_symbol
_atom_site_fract_x
_atom_site_fract_y
_atom_site_fract_z
La1 La 0.000 0.000 0.169
Pu1 Pu 0.000 0.000 0.500
In1 In 0.000 0.500 0.000
In2 In 0.000 0.500 0.340
In3 In 0.500 0.500 0.169
In4 In 0.500 0.500 0.500
```